The following is a GGA+U calculation of a relaxed Ho2MgAg2W4O16 crystal, from Alexandria.

Summary:
- Density: 7.2 g cm⁻³
- Polymorph energy (0 for the lowest one): 239.6 meV/atom
- SG: No. 1
- Total magnetic moment: 1.962 μB per formula unit

Cell and atoms, written as CIF:
```
data_Ho2MgAg2W4O16
_space_group_name_H-M_alt 'P 1'
_space_group_IT_number 1
_space_group_name_Hall 'P 1'
_cell_length_a 6.5925
_cell_length_b 7.2720
_cell_length_c 8.8111
_cell_angle_alpha 72.91
_cell_angle_beta 70.09
_cell_angle_gamma 68.47
loop_
_atom_site_label
_atom_site_fract_x
_atom_site_fract_y
_atom_site_fract_z
Ho1 0.0000 0.0000 0.0000
Ho2 0.3478 0.4743 0.2164
Mg1 0.7136 0.3954 0.4524
Ag1 0.2095 0.7232 0.7008
Ag2 0.6018 0.0912 0.7785
W1 0.2148 0.1987 0.5864
W2 0.4491 0.9100 0.2270
W3 0.7888 0.5418 0.7503
W4 0.8840 0.5484 0.0538
O1 0.0512 0.3576 0.4145
O2 0.1208 0.4474 0.6757
O3 0.1341 0.6313 0.0259
O4 0.2249 0.8333 0.1851
O5 0.2934 0.0006 0.7727
O6 0.3267 0.9635 0.4383
O7 0.4164 0.1939 0.0982
O8 0.4834 0.2743 0.4524
O9 0.5981 0.5445 0.6357
O10 0.6013 0.5946 0.2637
O11 0.6104 0.5485 0.9706
O12 0.6192 0.1625 0.1579
O13 0.7247 0.8580 0.0307
O14 0.8072 0.7945 0.6657
O15 0.8804 0.2209 0.7663
O16 0.9980 0.2753 0.0697
```